First-principles (PBEsol) data for a relaxed structure of ZnIrRh2, as listed in Alexandria.

Cell and atoms, written as POSCAR:
```
ZnIrRh2
1.0
2.708 0.000 0.000
0.000 3.750 0.000
0.000 0.000 5.327
Zn Ir Rh
1 1 2
Direct
0.000 0.000 0.000
0.000 0.000 0.500
0.500 0.500 0.251
0.500 0.500 0.749
```

## Properties
calculated formation energy: -46 kJ/mol of formula units
total magnetization: 0.00 μB/f.u.


First-principles (PBEsol) data for a relaxed structure of ZnIrRh2, as listed in Alexandria.

Cell and atoms, written as POSCAR:
```
ZnIrRh2
1.0
-1.895 1.895 3.750
1.895 -1.895 3.750
1.895 1.895 -3.750
Zn Ir Rh
1 1 2
Direct
0.000 0.000 0.000
0.500 0.500 0.000
0.250 0.750 0.500
0.750 0.250 0.500
```

## Properties
calculated formation energy: -52 kJ/mol of formula units
total magnetization: 0.00 μB/f.u.


First-principles (PBEsol) data for a relaxed structure of ZnIrRh2, as listed in Alexandria.

Cell and atoms, written as POSCAR:
```
ZnIrRh2
1.0
0.000 3.014 3.014
3.014 0.000 3.014
3.014 3.014 0.000
Zn Ir Rh
1 1 2
Direct
0.000 0.000 0.000
0.250 0.250 0.250
0.500 0.500 0.500
0.750 0.750 0.750
```

## Properties
calculated formation energy: 46 kJ/mol of formula units
total magnetization: 0.01 μB/f.u.


First-principles (PBEsol) data for a relaxed structure of ZnIrRh2, as listed in Alexandria.

Cell and atoms, written as POSCAR:
```
ZnIrRh2
1.0
-1.385 2.231 4.404
1.385 -2.231 4.404
1.385 2.231 -4.404
Zn Ir Rh
1 1 2
Direct
0.000 0.000 0.000
0.240 0.740 0.500
0.498 0.498 0.000
0.764 0.264 0.500
```

## Properties
calculated formation energy: 8 kJ/mol of formula units
total magnetization: 0.01 μB/f.u.


First-principles (PBEsol) data for a relaxed structure of ZnIrRh2, as listed in Alexandria.

Cell and atoms, written as POSCAR:
```
ZnIrRh2
1.0
-1.894 1.894 3.757
1.894 -1.894 3.757
1.894 1.894 -3.757
Zn Ir Rh
1 1 2
Direct
0.000 0.000 0.000
0.750 0.250 0.500
0.250 0.750 0.500
0.500 0.500 0.000
```

## Properties
calculated formation energy: -43 kJ/mol of formula units
total magnetization: 0.00 μB/f.u.


First-principles (PBEsol) data for a relaxed structure of ZrIr4Rh, as listed in Alexandria.

Cell and atoms, written as POSCAR:
```
ZrIr4Rh
1.0
0.000 3.618 3.618
3.618 0.000 3.618
3.618 3.618 0.000
Zr Ir Rh
1 4 1
Direct
0.000 0.000 0.000
0.127 0.624 0.624
0.624 0.127 0.624
0.624 0.624 0.127
0.624 0.624 0.624
0.250 0.250 0.250
```

## Properties
calculated formation energy: -83 kJ/mol of formula units
total magnetization: 0.01 μB/f.u.


First-principles (PBEsol) data for a relaxed structure of ZrIrRh3, as listed in Alexandria.

Cell and atoms, written as POSCAR:
```
ZrIrRh3
1.0
4.626 0.000 0.000
0.000 4.626 0.000
0.000 0.000 4.626
Zr Ir Rh
1 1 3
Direct
0.000 0.000 0.000
0.500 0.500 0.500
0.000 0.500 0.500
0.500 0.000 0.500
0.500 0.500 0.000
```

## Properties
calculated formation energy: 528 kJ/mol of formula units
total magnetization: 0.00 μB/f.u.


First-principles (PBEsol) data for a relaxed structure of Zr4IrRh, as listed in Alexandria.

Cell and atoms, written as POSCAR:
```
Zr4IrRh
1.0
0.000 3.814 3.814
3.814 0.000 3.814
3.814 3.814 0.000
Zr Ir Rh
4 1 1
Direct
0.125 0.125 0.125
0.125 0.125 0.624
0.125 0.624 0.125
0.624 0.125 0.125
0.500 0.500 0.500
0.750 0.750 0.750
```

## Properties
calculated formation energy: 197 kJ/mol of formula units
total magnetization: 0.00 μB/f.u.


First-principles (PBEsol) data for a relaxed structure of Zr3IrRh, as listed in Alexandria.

Cell and atoms, written as POSCAR:
```
Zr3IrRh
1.0
4.918 0.000 0.000
0.000 4.918 0.000
0.000 0.000 4.918
Zr Ir Rh
3 1 1
Direct
0.000 0.000 0.500
0.000 0.500 0.000
0.500 0.000 0.000
0.000 0.000 0.000
0.500 0.500 0.500
```

## Properties
calculated formation energy: 218 kJ/mol of formula units
total magnetization: 0.00 μB/f.u.


First-principles (PBEsol) data for a relaxed structure of ZrIrRh, as listed in Alexandria.

Cell and atoms, written as POSCAR:
```
ZrIrRh
1.0
-1.625 1.625 4.619
1.625 -1.625 4.619
1.625 1.625 -4.619
Zr Ir Rh
1 1 1
Direct
0.000 0.000 0.000
0.659 0.659 0.000
0.344 0.344 0.000
```

## Properties
calculated formation energy: -109 kJ/mol of formula units
total magnetization: 0.01 μB/f.u.


First-principles (PBEsol) data for a relaxed structure of Ir4Ru5, as listed in Alexandria.

Cell and atoms, written as POSCAR:
```
Ir4Ru5
1.0
-4.023 4.023 1.896
4.023 -4.023 1.896
4.023 4.023 -1.896
Ir Ru
4 5
Direct
0.000 0.330 0.330
0.000 0.670 0.670
0.330 0.000 0.330
0.670 0.000 0.670
0.000 0.000 0.000
0.334 0.334 0.669
0.334 0.666 0.000
0.666 0.334 0.000
0.666 0.666 0.331
```

## Properties
calculated formation energy: -9 kJ/mol of formula units
total magnetization: 0.00 μB/f.u.


First-principles (PBEsol) data for a relaxed structure of Ir2Ru, as listed in Alexandria.

Cell and atoms, written as POSCAR:
```
Ir2Ru
1.0
4.074 -2.352 0.000
4.074 2.352 0.000
0.000 0.000 4.324
Ir Ru
4 2
Direct
0.001 0.667 0.750
0.333 0.999 0.750
0.667 0.001 0.250
0.999 0.333 0.250
0.334 0.666 0.250
0.666 0.334 0.750
```

## Properties
ΔE to the lowest computed polymorph: 18 meV per atom
calculated formation energy: -5 kJ/mol of formula units
total magnetization: 0.00 μB/f.u.


First-principles (PBEsol) data for a relaxed structure of Ir2Ru, as listed in Alexandria.

Cell and atoms, written as POSCAR:
```
Ir2Ru
1.0
-1.345 1.903 4.043
1.345 -1.903 4.043
1.345 1.903 -4.043
Ir Ru
2 1
Direct
0.165 0.165 0.000
0.835 0.835 0.000
0.500 0.500 0.000
```

## Properties
ΔE to the lowest computed polymorph: 1 meV per atom
calculated formation energy: -10 kJ/mol of formula units
total magnetization: 0.00 μB/f.u.


First-principles (PBEsol) data for a relaxed structure of Ir2Ru, as listed in Alexandria.

Cell and atoms, written as POSCAR:
```
Ir2Ru
1.0
-1.346 1.346 5.713
1.346 -1.346 5.713
1.346 1.346 -5.713
Ir Ru
2 1
Direct
0.164 0.164 0.000
0.836 0.836 0.000
0.500 0.500 0.000
```

## Properties
ΔE to the lowest computed polymorph: 4 meV per atom
calculated formation energy: -9 kJ/mol of formula units
total magnetization: 0.00 μB/f.u.


First-principles (PBEsol) data for a relaxed structure of Ir5Ru, as listed in Alexandria.

Cell and atoms, written as POSCAR:
```
Ir5Ru
1.0
4.363 0.000 0.000
0.000 1.360 7.062
0.000 -1.360 7.062
Ir Ru
5 1
Direct
0.000 0.000 0.000
0.000 0.330 0.330
0.500 0.110 0.110
0.500 0.442 0.442
0.500 0.775 0.775
0.000 0.665 0.665
```

## Properties
ΔE to the lowest computed polymorph: 43 meV per atom
calculated formation energy: 18 kJ/mol of formula units
total magnetization: 0.00 μB/f.u.